Here is an optimized crystal structure of TeMo2Br from Alexandria via LeMat-Bulk. Energies are from GGA-PBE.

D(E_F), states/eV/cell: 3.8
Raw formation energy, eV/f.u.: 2.60
Electronic total energy, eV per atom: -5.97

Cell lengths 4.584, 4.584, 5.630 Å; angles 76.83, 76.83, 40.98 degrees
Sites, in units of the cell vectors:
Te (0.750, 0.750, 0.750)
Mo (0.006, 0.006, 0.037)
Mo (0.494, 0.494, 0.463)
Br (0.250, 0.250, 0.250)



Here is an optimized crystal structure of Re2Sb from Alexandria via LeMat-Bulk. Energies are from GGA-PBE.

D(E_F), states/eV/cell: 2.0
Raw formation energy, eV/f.u.: 1.85
Electronic total energy, eV per atom: -9.05

Cell lengths 4.821, 4.821, 4.821 Å; angles 143.63, 129.88, 63.49 degrees
Sites, in units of the cell vectors:
Re (0.673, 0.673, 0.000)
Sb (0.000, 0.000, 0.000)
Re (0.327, 0.327, 0.000)



Here is an optimized crystal structure of SiRu2Br2 from Alexandria via LeMat-Bulk. Energies are from GGA-PBE.

D(E_F), states/eV/cell: 12.0
Raw formation energy, eV/f.u.: 5.68
Electronic total energy, eV per atom: -4.33

Cell lengths 7.726, 7.726, 3.033 Å; angles 90.00, 90.00, 90.00 degrees
Sites, in units of the cell vectors:
Si (0.500, 0.500, 0.000)
Br (0.636, 0.136, 0.000)
Ru (0.315, 0.185, 0.500)
Br (0.136, 0.364, 0.000)
Ru (0.685, 0.815, 0.500)
Si (0.000, 0.000, 0.000)
Br (0.364, 0.864, 0.000)
Ru (0.185, 0.685, 0.500)
Ru (0.815, 0.315, 0.500)
Br (0.864, 0.636, 0.000)



Here is an optimized crystal structure of ReAsAu from Alexandria via LeMat-Bulk. Energies are from GGA-PBE.

D(E_F), states/eV/cell: 1.9
Electronic total energy, eV per atom: -6.32

Cell lengths 4.209, 4.209, 3.350 Å; angles 90.00, 90.00, 120.00 degrees
Sites, in units of the cell vectors:
As (0.000, 0.000, 0.834)
Au (0.667, 0.333, 0.333)
Re (0.333, 0.667, 0.833)



Here is an optimized crystal structure of Ce4Ir2Os from Alexandria via LeMat-Bulk. Energies are from GGA-PBE.

D(E_F), states/eV/cell: 27.1
Electronic total energy, eV per atom: -7.96

Cell lengths 7.714, 7.714, 7.714 Å; angles 110.71, 110.68, 107.05 degrees
Each line ends with the local moment (μB).
Sites, in units of the cell vectors:
Ir (0.625, 0.876, 0.250)  -0.03
Ce (0.929, 0.231, 0.302)  0.28
Ir (0.625, 0.375, 0.250)  -0.03
Ir (0.625, 0.375, 0.750)  -0.03
Ce (0.928, 0.626, 0.698)  0.28
Ir (0.125, 0.374, 0.749)  -0.03
Ce (0.481, 0.679, 0.802)  0.28
Ce (0.322, 0.520, 0.198)  0.28
Ce (0.876, 0.679, 0.198)  0.28
Ce (0.374, 0.072, 0.303)  0.28
Ce (0.769, 0.072, 0.698)  0.28
Os (0.250, 0.750, 0.500)  -0.06
Os (0.000, 0.000, 0.000)  -0.06
Ce (0.321, 0.123, 0.802)  0.28



Here is an optimized crystal structure of Li2HgPbO4 from Alexandria via LeMat-Bulk. Energies are from GGA-PBE.

D(E_F), states/eV/cell: 0.5
Raw formation energy, eV/f.u.: -8.58
Electronic total energy, eV per atom: -4.53

Cell lengths 3.238, 6.117, 5.697 Å; angles 116.15, 90.00, 90.00 degrees
Sites, in units of the cell vectors:
O (0.500, 0.299, 0.235)
O (0.000, 0.256, 0.734)
O (0.500, 0.701, 0.765)
Pb (0.500, 0.500, 0.000)
Li (0.500, 0.000, 0.500)
Li (0.000, 0.500, 0.500)
Hg (0.000, 0.000, 0.000)
O (0.000, 0.744, 0.266)